The following is a DFT calculation (SCAN) of SnPO2F at its PBEsol-relaxed geometry.

Unit cell a=3.850 b=3.850 c=4.222 alpha=90.00 beta=90.00 gamma=90.00
Element x y z (fractional)
P (0.000, 0.000, 0.000)
O (0.000, 0.500, 0.000)
O (0.500, 0.000, 0.000)
F (0.000, 0.000, 0.500)
Sn (0.500, 0.500, 0.500)

Summary:
Calculated density ... 5.3 Mg/m³
ΔE_f (raw) ... -0.926 eV/atom
Magnetization ... 0.0 μB per formula unit

The following is a DFT calculation (SCAN) of SrPO2F at its PBEsol-relaxed geometry.

Unit cell a=3.422 b=4.561 c=4.561 alpha=90.00 beta=90.00 gamma=90.00
Each line ends with the local moment (μB).
Element x y z (fractional)
F (0.000, 0.000, 0.000)  -0.02
Sr (0.500, 0.500, 0.500)  -0.04
O (0.000, 0.000, 0.500)  0.52
O (0.000, 0.500, 0.000)  0.52
P (0.500, 0.000, 0.000)  -0.27

Summary:
Calculated density ... 4.0 Mg/m³
ΔE_f (raw) ... -0.599 eV/atom
Magnetization ... 0.5 μB per formula unit

The following is a DFT calculation (SCAN) of Sr5P3O12F at its PBEsol-relaxed geometry.

Unit cell a=7.269 b=9.697 c=9.697 alpha=120.00 beta=90.00 gamma=90.00
Element x y z (fractional)
P (0.750, 0.032, 0.633)
P (0.750, 0.600, 0.968)
P (0.250, 0.968, 0.367)
P (0.250, 0.633, 0.600)
P (0.750, 0.367, 0.400)
P (0.250, 0.400, 0.032)
O (0.923, 0.086, 0.741)
O (0.250, 0.535, 0.415)
O (0.750, 0.120, 0.535)
O (0.423, 0.741, 0.655)
O (0.577, 0.086, 0.741)
O (0.923, 0.655, 0.914)
O (0.750, 0.415, 0.880)
O (0.577, 0.655, 0.914)
O (0.250, 0.151, 0.480)
O (0.750, 0.465, 0.585)
O (0.077, 0.741, 0.655)
O (0.750, 0.670, 0.151)
O (0.250, 0.880, 0.465)
O (0.750, 0.480, 0.330)
O (0.577, 0.259, 0.345)
O (0.923, 0.259, 0.345)
O (0.750, 0.849, 0.520)
O (0.077, 0.914, 0.259)
O (0.423, 0.914, 0.259)
O (0.423, 0.345, 0.086)
O (0.250, 0.585, 0.120)
O (0.077, 0.345, 0.086)
O (0.250, 0.520, 0.670)
O (0.250, 0.330, 0.849)
Sr (0.750, 0.254, 0.014)
Sr (0.250, 0.241, 0.254)
Sr (0.000, 0.667, 0.333)
Sr (0.250, 0.014, 0.759)
Sr (0.500, 0.333, 0.667)
Sr (0.500, 0.667, 0.333)
Sr (0.250, 0.746, 0.986)
Sr (0.750, 0.759, 0.746)
Sr (0.750, 0.986, 0.241)
Sr (0.000, 0.333, 0.667)
F (0.750, 0.000, 0.000)
F (0.250, 0.000, 0.000)

Summary:
Calculated density ... 4.2 Mg/m³
ΔE_f (raw) ... -3.310 eV/atom
Magnetization ... 0.0 μB per formula unit

The following is a DFT calculation (SCAN) of TaP2OF at its PBEsol-relaxed geometry.

Unit cell a=3.844 b=4.853 c=4.853 alpha=90.00 beta=90.00 gamma=90.00
Each line ends with the local moment (μB).
Element x y z (fractional)
P (0.000, 0.000, 0.500)  0.36
P (0.000, 0.500, 0.000)  0.36
F (0.500, 0.500, 0.500)  0.15
Ta (0.000, 0.000, 0.000)  0.02
O (0.500, 0.000, 0.000)  0.20

Summary:
Calculated density ... 5.1 Mg/m³
ΔE_f (raw) ... -0.532 eV/atom
Magnetization ... 1.9 μB per formula unit